First-principles (meta-GGA SCAN) data for a PBEsol-optimized structure of Tl2TcSb, as listed in Alexandria via LeMat-Bulk.

```
Tl2TcSb
1.0
-1.4448 -2.9753 0.8029
3.9565 -1.1583 2.3794
-3.3247 4.2921 2.9324
Tc Sb Tl
1 1 2
direct
0.0000 0.5000 0.0000
0.5000 0.0000 0.0000
0.5000 0.5000 0.5000
0.0000 0.0000 0.5000
```

Values from the calculation:
The value obtained for the uncorrected formation energy is 0.708 eV per atom. For the raw total energy, the calculation gives -53.55 eV per atom. The offset from the most stable computed form comes out at 427 meV/atom. As for the space-group type: C2/m, No. 12. Its total magnetization is 0.551 μB per atom.

First-principles (meta-GGA SCAN) data for a PBEsol-optimized structure of Tl2TcSb, as listed in Alexandria via LeMat-Bulk.

```
Tl2TcSb
1.0
-1.4309 -0.2568 2.8088
4.2108 -2.5473 0.1317
1.2713 6.8559 1.2745
Tl Sb Tc
2 1 1
direct
0.0826 0.1651 0.0139
0.2640 0.5280 0.7350
0.4369 0.8738 0.3758
0.7165 0.4330 0.3753
```

Values from the calculation:
The value obtained for the uncorrected formation energy is 0.281 eV per atom. For the raw total energy, the calculation gives -53.98 eV per atom. The offset from the most stable computed form comes out at 0 meV/atom. As for the space-group type: Cm, No. 8. Its total magnetization is 0.084 μB per atom.

First-principles (meta-GGA SCAN) data for a PBEsol-optimized structure of TlTcSb4, as listed in Alexandria via LeMat-Bulk.

```
TlTcSb4
1.0
-1.3501 0.3911 -5.9447
1.3541 -4.6277 -3.7505
-4.4710 -3.4361 -2.3492
Sb Tc Tl
4 1 1
direct
0.3756 0.3756 0.3756
0.3756 0.8732 0.3756
0.8732 0.3756 0.3756
0.3756 0.3756 0.8732
0.7500 0.7500 0.7500
0.0000 0.0000 0.0000
```

Values from the calculation:
The value obtained for the uncorrected formation energy is 0.798 eV per atom. For the raw total energy, the calculation gives -41.95 eV per atom. As for the space-group type: F-43m, No. 216. Its total magnetization is 0.690 μB per atom.

First-principles (meta-GGA SCAN) data for a PBEsol-optimized structure of Tl2TcSb, as listed in Alexandria via LeMat-Bulk.

```
Tl2TcSb
1.0
3.1434 0.0000 0.0000
0.0000 3.1434 0.0000
0.0000 0.0000 9.0700
Tl Tc Sb
2 1 1
direct
0.0000 0.0000 0.7068
0.0000 0.0000 0.2932
0.5000 0.5000 0.5000
0.5000 0.5000 0.0000
```

Values from the calculation:
The value obtained for the uncorrected formation energy is 0.663 eV per atom. For the raw total energy, the calculation gives -53.60 eV per atom. The offset from the most stable computed form comes out at 382 meV/atom. As for the space-group type: P4/mmm, No. 123. Its total magnetization is 0.531 μB per atom.

First-principles (meta-GGA SCAN) data for a PBEsol-optimized structure of TlTcSb3, as listed in Alexandria via LeMat-Bulk.

```
TlTcSb3
1.0
-0.7465 -4.6516 -2.0862
5.0883 -0.5500 -0.5944
0.3139 -2.1464 4.6735
Sb Tl Tc
3 1 1
direct
0.0000 0.0000 0.5000
0.0000 0.5000 0.0000
0.5000 0.0000 0.0000
0.5000 0.5000 0.5000
0.0000 0.0000 0.0000
```

Values from the calculation:
The value obtained for the uncorrected formation energy is 0.391 eV per atom. For the raw total energy, the calculation gives -43.45 eV per atom. As for the space-group type: Pm-3m, No. 221. Its total magnetization is 0.000 μB per atom.

First-principles (meta-GGA SCAN) data for a PBEsol-optimized structure of TcSb2W, as listed in Alexandria via LeMat-Bulk.

```
TcSb2W
1.0
-1.6863 0.2568 2.7676
0.8061 -4.4513 0.9043
3.8608 1.1553 2.2452
W Sb Tc
1 2 1
direct
0.5000 0.0000 0.0000
0.0000 0.5000 0.0000
0.0000 0.0000 0.5000
0.5000 0.5000 0.5000
```

Values from the calculation:
The value obtained for the uncorrected formation energy is 0.464 eV per atom. For the raw total energy, the calculation gives -44.35 eV per atom. The offset from the most stable computed form comes out at 0 meV/atom. As for the space-group type: P4/mmm, No. 123. Its total magnetization is 0.000 μB per atom.

First-principles (meta-GGA SCAN) data for a PBEsol-optimized structure of TcSbW2, as listed in Alexandria via LeMat-Bulk.

```
TcSbW2
1.0
-1.0215 -2.7432 -0.6532
1.4243 0.0977 -2.6377
5.9326 -2.9461 3.0944
W Tc Sb
2 1 1
direct
0.0000 0.0000 0.7275
0.0000 0.0000 0.2725
0.5000 0.5000 0.5000
0.5000 0.5000 0.0000
```

Values from the calculation:
The value obtained for the uncorrected formation energy is 0.494 eV per atom. For the raw total energy, the calculation gives -52.43 eV per atom. As for the space-group type: P4/mmm, No. 123. Its total magnetization is 0.000 μB per atom.

First-principles (meta-GGA SCAN) data for a PBEsol-optimized structure of TcSbW2, as listed in Alexandria via LeMat-Bulk.

```
TcSbW2
1.0
-2.0346 -0.6438 -2.2445
0.0940 -4.5971 1.2334
-2.3650 2.2269 3.6418
Sb Tc W
1 1 2
direct
0.4982 0.5185 0.9965
0.7399 0.2052 0.4798
0.2560 0.7426 0.5119
0.0059 0.0337 0.0118
```

Values from the calculation:
The value obtained for the uncorrected formation energy is 0.492 eV per atom. For the raw total energy, the calculation gives -52.43 eV per atom. As for the space-group type: Cm, No. 8. Its total magnetization is 0.000 μB per atom.

First-principles (meta-GGA SCAN) data for a PBEsol-optimized structure of TcSbW2, as listed in Alexandria via LeMat-Bulk.

```
TcSbW2
1.0
3.8076 0.0000 0.0000
0.0000 3.8076 0.0000
0.0000 0.0000 4.4893
W Sb Tc
2 1 1
direct
0.0000 0.5000 0.0000
0.5000 0.0000 0.0000
0.5000 0.5000 0.5000
0.0000 0.0000 0.5000
```

Values from the calculation:
The value obtained for the uncorrected formation energy is 0.556 eV per atom. For the raw total energy, the calculation gives -52.37 eV per atom. As for the space-group type: P4/mmm, No. 123. Its total magnetization is 0.000 μB per atom.

First-principles (meta-GGA SCAN) data for a PBEsol-optimized structure of TcSb2W, as listed in Alexandria via LeMat-Bulk.

```
TcSb2W
1.0
3.2718 0.0000 0.0000
1.6359 5.0200 0.0096
1.6359 2.2282 4.4983
W Sb Tc
1 2 1
direct
0.0000 0.5000 0.5000
0.7563 0.2437 0.2437
0.2437 0.7563 0.7563
0.5000 0.0000 0.0000
```

Values from the calculation:
The value obtained for the uncorrected formation energy is 0.905 eV per atom. For the raw total energy, the calculation gives -43.91 eV per atom. The offset from the most stable computed form comes out at 441 meV/atom. As for the space-group type: Immm, No. 71. Its total magnetization is 0.000 μB per atom.

First-principles (meta-GGA SCAN) data for a PBEsol-optimized structure of TcSbW2, as listed in Alexandria via LeMat-Bulk.

```
TcSbW2
1.0
2.9169 0.0000 -0.0090
0.0000 4.3791 0.0000
-0.7005 0.0000 5.1714
Sb W Tc
1 2 1
direct
0.3595 0.0000 0.4945
0.7774 0.5000 0.2432
0.0014 0.0000 0.9862
0.3618 0.5000 0.7760
```

Values from the calculation:
The value obtained for the uncorrected formation energy is 0.487 eV per atom. For the raw total energy, the calculation gives -52.44 eV per atom. As for the space-group type: Pm, No. 6. Its total magnetization is 0.000 μB per atom.

First-principles (meta-GGA SCAN) data for a PBEsol-optimized structure of Zn2TcSbW, as listed in Alexandria via LeMat-Bulk.

```
Zn2TcSbW
1.0
-1.8498 3.4947 -2.6128
-2.8269 -3.1216 -2.1739
-3.4436 0.7356 3.4219
Zn Tc W Sb
2 1 1 1
direct
0.5000 0.0000 0.0000
0.0000 0.5000 0.0000
0.0000 0.0000 0.5000
0.5000 0.5000 0.5000
0.0000 0.0000 0.0000
```

Values from the calculation:
The value obtained for the uncorrected formation energy is 2.056 eV per atom. For the raw total energy, the calculation gives -31.75 eV per atom. As for the space-group type: P4/mmm, No. 123. Its total magnetization is 0.260 μB per atom.